This record from Alexandria describes a geometry-optimized P2OsBrCl structure. The functional is PBE.

Cell lengths 4.8730, 4.8730, 4.7728 Å; angles 90.00, 90.00, 90.00 degrees
Last column: nearest neighbours and their distance in Å.
Fractional coordinates of all 5 atoms:
P 0.0000 0.5000 0.0000  2 Br 2.44
P 0.5000 0.0000 0.0000  2 Br 2.44
Os 0.0000 0.0000 0.5000  8 P 3.41, 4 Cl 3.45
Br 0.5000 0.5000 0.0000  2 Cl 2.39, 4 P 2.44
Cl 0.5000 0.5000 0.5000  2 Br 2.39

Its crystal system is tetragonal. Its symmetry is P4/mmm. Its size of the total moment is 0.5695 μB per atom. The value obtained for the polymorph energy (0 for the lowest one) is 1718 meV/atom. As for the density: 5.38 g cm⁻³. The formation energy without anion corrections comes out at 2.14 eV/atom.



This record from Alexandria describes a geometry-optimized PrTaO4F structure. The functional is PBE.

Cell lengths 6.2886, 6.2886, 6.9540 Å; angles 98.52, 98.52, 73.75 degrees
Last column: nearest neighbours and their distance in Å.
Fractional coordinates of all 14 atoms:
Pr 0.1948 0.1948 0.0821  2 F 2.35-2.36, 6 O 2.44-2.61
Pr 0.8052 0.8052 0.9179  2 F 2.35-2.36, 6 O 2.44-2.61
Ta 0.3744 0.3744 0.7091  4 O 1.85-1.88
Ta 0.6256 0.6256 0.2909  4 O 1.85-1.88
O 0.1253 0.4943 0.8415  1 Ta 1.85
O 0.3054 0.3054 0.4386  1 Ta 1.88, 1 O 2.06
O 0.4360 0.4360 0.2422  1 Ta 1.87, 1 O 2.06
O 0.4943 0.1253 0.8415  1 Ta 1.85
O 0.5057 0.8747 0.1585  1 Ta 1.85
O 0.5640 0.5640 0.7578  1 Ta 1.87, 1 O 2.06
O 0.6946 0.6946 0.5614  1 Ta 1.88, 1 O 2.06
O 0.8747 0.5057 0.1585  1 Ta 1.85
F 0.0139 0.0139 0.8125  2 Pr 2.35-2.36
F 0.9861 0.9861 0.1875  2 Pr 2.35-2.36

Its crystal system is monoclinic. Its symmetry is C2/m. Its size of the total moment is 0.0000 μB per atom. As for the density: 5.18 g cm⁻³. The formation energy without anion corrections comes out at -2.82 eV/atom.



This record from Alexandria describes a geometry-optimized CoOsRu structure. The functional is PBE.

Cell lengths 4.0565, 4.0565, 4.0565 Å; angles 60.00, 60.00, 60.00 degrees
Last column: nearest neighbours and their distance in Å.
Fractional coordinates of all 3 atoms:
Co 0.0000 0.0000 0.0000  4 Os 2.48
Os 0.2500 0.2500 0.2500  4 Ru 2.48, 4 Co 2.48
Ru 0.5000 0.5000 0.5000  4 Os 2.48

Its crystal system is cubic. Its symmetry is F-43m. Its size of the total moment is 0.4428 μB per atom. The value obtained for the polymorph energy (0 for the lowest one) is 610 meV/atom. As for the density: 12.32 g cm⁻³. The value obtained for the energy relative to the elements is 663 meV per atom.



This record from Alexandria describes a geometry-optimized BaLiI3 structure. The functional is PBE.

Cell lengths 5.6712, 5.6712, 5.6712 Å; angles 90.00, 90.00, 90.00 degrees
Last column: nearest neighbours and their distance in Å.
Fractional coordinates of all 5 atoms:
Ba 0.0000 0.0000 0.0000  12 I 4.01
Li 0.5000 0.5000 0.5000  6 I 2.84
I 0.0000 0.5000 0.5000  2 Li 2.84
I 0.5000 0.0000 0.5000  2 Li 2.84
I 0.5000 0.5000 0.0000  2 Li 2.84

Its crystal system is cubic. Its symmetry is Pm-3m. Its size of the total moment is 0.0000 μB per atom. As for the density: 4.78 g cm⁻³. The formation energy without anion corrections comes out at -1.41 eV/atom.



This record from Alexandria describes a geometry-optimized LaYCrGe2 structure. The functional is PBE.

Cell lengths 5.4521, 5.4521, 4.5807 Å; angles 90.00, 90.00, 90.00 degrees
Last column: nearest neighbours and their distance in Å.
Fractional coordinates of all 5 atoms:
La 0.0000 0.0000 0.0000  2 Cr 2.29
Y 0.5000 0.5000 0.5000  8 Ge 3.56, 4 Cr 3.86
Cr 0.0000 0.0000 0.5000  2 La 2.29
Ge 0.0000 0.5000 0.0000  2 La 2.73
Ge 0.5000 0.0000 0.0000  2 La 2.73

Its crystal system is tetragonal. Its symmetry is P4/mmm. Its size of the total moment is 0.0040 μB per atom. The value obtained for the polymorph energy (0 for the lowest one) is 965 meV/atom. As for the density: 5.18 g cm⁻³. The value obtained for the energy relative to the elements is 974 meV per atom.



This record from Alexandria describes a geometry-optimized MgTaZn4Co2 structure. The functional is PBE.

Cell lengths 3.4579, 3.4579, 10.6060 Å; angles 90.00, 90.00, 90.00 degrees
Last column: nearest neighbours and their distance in Å.
Fractional coordinates of all 8 atoms:
Mg 0.0000 0.0000 0.0000  8 Zn 2.92
Ta 0.0000 0.0000 0.5000  8 Co 2.69
Zn 0.0000 0.5000 0.2222  4 Zn 2.45, 2 Co 2.51
Zn 0.0000 0.5000 0.7778  4 Zn 2.45, 2 Co 2.51
Zn 0.5000 0.0000 0.2222  4 Zn 2.45, 2 Co 2.51
Zn 0.5000 0.0000 0.7778  4 Zn 2.45, 2 Co 2.51
Co 0.5000 0.5000 0.3932  1 Co 2.27, 4 Zn 2.51
Co 0.5000 0.5000 0.6068  1 Co 2.27, 4 Zn 2.51

Its crystal system is tetragonal. Its symmetry is P4/mmm. Its size of the total moment is 0.0001 μB per atom. As for the density: 7.66 g cm⁻³. The value obtained for the energy relative to the elements is 105 meV per atom.



This record from Alexandria describes a geometry-optimized Mg2Sb structure. The functional is PBE.

Cell lengths 4.5376, 4.5376, 4.5052 Å; angles 90.00, 90.00, 120.00 degrees
Last column: nearest neighbours and their distance in Å.
Fractional coordinates of all 3 atoms:
Mg 0.3333 0.6667 0.2827  3 Sb 2.91
Mg 0.6667 0.3333 0.7173  3 Sb 2.91
Sb 0.0000 0.0000 0.0000  6 Mg 2.91

Its crystal system is trigonal. Its symmetry is P-3m1. Its size of the total moment is 0.0000 μB per atom. As for the density: 3.52 g cm⁻³. The formation energy without anion corrections comes out at -0.10 eV/atom.



This record from Alexandria describes a geometry-optimized CeInPt structure. The functional is PBE.

Cell lengths 4.7465, 4.7465, 3.5520 Å; angles 90.00, 90.00, 120.00 degrees
Last column: nearest neighbours and their distance in Å.
Fractional coordinates of all 3 atoms:
Ce 0.0000 0.0000 0.0000  6 In 3.27, 6 Pt 3.27, 2 Ce 3.55
In 0.6667 0.3333 0.5000  3 Pt 2.74
Pt 0.3333 0.6667 0.5000  3 In 2.74

Its crystal system is hexagonal. Its symmetry is P-6m2. Its size of the total moment is 0.1409 μB per atom. As for the density: 10.78 g cm⁻³. The value obtained for the energy relative to the elements is -767 meV per atom.



This record from Alexandria describes a geometry-optimized NdZrTl structure. The functional is PBE.

Cell lengths 5.2186, 5.2186, 3.5475 Å; angles 90.00, 90.00, 120.00 degrees
Last column: nearest neighbours and their distance in Å.
Fractional coordinates of all 3 atoms:
Nd 0.0000 0.0000 0.0000  6 Tl 3.49-3.50, 6 Zr 3.50, 2 Nd 3.55
Zr 0.3333 0.6667 0.5005  3 Tl 3.01
Tl 0.6667 0.3333 0.4988  3 Zr 3.01

Its crystal system is trigonal. Its symmetry is P3m1. Its size of the total moment is 0.0007 μB per atom. The value obtained for the polymorph energy (0 for the lowest one) is 100 meV/atom. As for the density: 8.73 g cm⁻³. The value obtained for the energy relative to the elements is 55 meV per atom.



This record from Alexandria describes a geometry-optimized Na3Li2CoH6 structure. The functional is PBE.

Cell lengths 5.2259, 5.2259, 5.3411 Å; angles 99.63, 99.63, 119.86 degrees
Last column: nearest neighbours and their distance in Å.
Fractional coordinates of all 12 atoms:
Na 0.0000 0.0000 0.0000  6 H 2.26-2.52
Na 0.3364 0.6636 0.0000  6 H 2.26-2.49
Na 0.6636 0.3364 0.0000  6 H 2.26-2.49
Li 0.1664 0.8336 0.5000  6 H 2.07-2.11
Li 0.8336 0.1664 0.5000  6 H 2.07-2.11
Co 0.5000 0.5000 0.5000  6 H 1.81-1.82
H 0.1405 0.4368 0.3059  1 Co 1.82
H 0.2676 0.2676 0.6851  1 Co 1.81
H 0.4368 0.1405 0.3059  1 Co 1.82
H 0.5632 0.8595 0.6941  1 Co 1.82
H 0.7324 0.7324 0.3149  1 Co 1.81
H 0.8595 0.5632 0.6941  1 Co 1.82

Its total energy is -36.63 eV/f.u. Its crystal system is monoclinic. Its symmetry is C2/m. Its size of the total moment is 0.1668 μB per atom. As for the density: 2.06 g cm⁻³.



This record from Alexandria describes a geometry-optimized Ti4Ge6Rh7 structure. The functional is PBE.

Cell lengths 6.9561, 6.9561, 6.9561 Å; angles 109.47, 109.47, 109.47 degrees
Last column: nearest neighbours and their distance in Å.
Fractional coordinates of all 17 atoms:
Ti 0.0000 0.0000 0.5000  6 Rh 2.84, 6 Ge 2.88
Ti 0.0000 0.5000 0.0000  6 Rh 2.84, 6 Ge 2.88
Ti 0.5000 0.0000 0.0000  6 Rh 2.84, 6 Ge 2.88
Ti 0.5000 0.5000 0.5000  6 Rh 2.84, 6 Ge 2.88
Ge 0.0000 0.3106 0.3106  5 Rh 2.49-2.52
Ge 0.0000 0.6894 0.6894  5 Rh 2.49-2.52
Ge 0.3106 0.0000 0.3106  5 Rh 2.49-2.52
Ge 0.3106 0.3106 0.0000  5 Rh 2.49-2.52
Ge 0.6894 0.0000 0.6894  5 Rh 2.49-2.52
Ge 0.6894 0.6894 0.0000  5 Rh 2.49-2.52
Rh 0.0000 0.0000 0.0000  6 Ge 2.49
Rh 0.2500 0.5000 0.7500  4 Ge 2.52
Rh 0.2500 0.7500 0.5000  4 Ge 2.52
Rh 0.5000 0.2500 0.7500  4 Ge 2.52
Rh 0.5000 0.7500 0.2500  4 Ge 2.52
Rh 0.7500 0.2500 0.5000  4 Ge 2.52
Rh 0.7500 0.5000 0.2500  4 Ge 2.52

Its crystal system is cubic. Its symmetry is Im-3m. Its size of the total moment is 0.0000 μB per atom. As for the density: 8.64 g cm⁻³. The value obtained for the energy relative to the elements is -688 meV per atom.



This record from Alexandria describes a geometry-optimized ZnCdSb2Te structure. The functional is PBE.

Cell lengths 5.5582, 5.5582, 5.6595 Å; angles 90.00, 90.00, 90.00 degrees
Last column: nearest neighbours and their distance in Å.
Fractional coordinates of all 5 atoms:
Zn 0.0000 0.0000 0.0000  4 Te 3.93, 8 Sb 3.97
Cd 0.5000 0.5000 0.5000  4 Sb 2.78, 2 Te 2.83
Sb 0.0000 0.5000 0.5000  2 Cd 2.78
Sb 0.5000 0.0000 0.5000  2 Cd 2.78
Te 0.5000 0.5000 0.0000  2 Cd 2.83

Its crystal system is tetragonal. Its symmetry is P4/mmm. Its size of the total moment is 0.0000 μB per atom. The value obtained for the polymorph energy (0 for the lowest one) is 295 meV/atom. As for the density: 5.21 g cm⁻³. The formation energy without anion corrections comes out at 0.79 eV/atom.



Question: Among the records above, which one has the highest size of the total moment?
Answer: P2OsBrCl